a | First-principles (PBE-GGA) data for a relaxed structure of YTm2Pa, as listed in Alexandria.

Results
total moment = 0.1 μB/cell
symmetry = P4/mmm (123)

a b c (Å): 3.407 3.407 10.036
angles (deg): 90.00 90.00 90.00
Fractional positions:
1 Y 0.000 0.000 0.000
2 Tm 0.500 0.500 0.267
3 Tm 0.500 0.500 0.733
4 Pa 0.000 0.000 0.500



b | First-principles (PBE-GGA) data for a relaxed structure of YTm2Pa, as listed in Alexandria.

Results
total moment = 0.0 μB/cell
symmetry = R3m (160)

a b c (Å): 11.617 11.617 11.617
angles (deg): 16.88 16.88 16.88
Fractional positions:
1 Y 0.000 0.000 0.000
2 Tm 0.419 0.419 0.419
3 Tm 0.580 0.580 0.580
4 Pa 0.166 0.166 0.166



c | First-principles (PBE-GGA) data for a relaxed structure of YTm2Pa, as listed in Alexandria.

Results
total moment = 0.0 μB/cell
symmetry = R-3m (166)

a b c (Å): 12.285 12.285 12.285
angles (deg): 15.50 15.50 15.50
Fractional positions:
1 Y 0.000 0.000 0.000
2 Tm 0.413 0.413 0.413
3 Tm 0.587 0.587 0.587
4 Pa 0.500 0.500 0.500



Best to worst by energy: b, a, c.